Entry from the Alexandria database: NiRhAu2 after structural relaxation (PBE). Values from VASP.

The structure in Quantum ESPRESSO input format:
```
&SYSTEM
  ibrav = 0, nat = 4, ntyp = 3
/
ATOMIC_SPECIES
Au 196.97 Au.upf
Ni 58.69 Ni.upf
Rh 102.91 Rh.upf
ATOMIC_POSITIONS angstrom
Au 0.000 0.000 0.000
Au 1.641 2.311 0.000
Ni 2.398 0.035 1.408
Rh -0.757 2.276 1.408
CELL_PARAMETERS angstrom
4.796 0.071 0.000
-1.515 4.552 0.000
0.000 0.000 2.817
```

Calculated values
D(E_F) in states/eV per atom: 1.496
Energy above the most stable polymorph in this dataset in meV per atom: 98
ΔH_f (0 K) in kJ/mol of atoms: 17.6
V in Å³ per atom: 15.4